No. 1
PBE-GGA PuTlCdCu, optimized geometry; raw total energy = -5.32 eV per atom; E_form = 0.102 eV per atom
1.0
7.1401 0.0000 0.0000
0.0000 7.1401 0.0000
0.0000 0.0000 7.1401
Pu Tl Cd Cu
4 4 4 4
direct
0.0000 0.0000 0.0000 Pu
0.0000 0.5000 0.5000 Pu
0.5000 0.0000 0.5000 Pu
0.5000 0.5000 0.0000 Pu
0.2500 0.2500 0.2500 Tl
0.2500 0.7500 0.7500 Tl
0.7500 0.2500 0.7500 Tl
0.7500 0.7500 0.2500 Tl
0.0000 0.0000 0.5000 Cd
0.0000 0.5000 0.0000 Cd
0.5000 0.0000 0.0000 Cd
0.5000 0.5000 0.5000 Cd
0.2500 0.2500 0.7500 Cu
0.2500 0.7500 0.2500 Cu
0.7500 0.2500 0.2500 Cu
0.7500 0.7500 0.7500 Cu


No. 2
PBE-GGA RbCdCu3, optimized geometry; raw total energy = -2.27 eV per atom; E_form = 0.563 eV per atom
1.0
5.0727 0.0000 0.0000
0.0000 5.0727 0.0000
0.0000 0.0000 5.0727
Rb Cd Cu
1 1 3
direct
0.0000 0.0000 0.0000 Rb
0.5000 0.5000 0.5000 Cd
0.0000 0.5000 0.5000 Cu
0.5000 0.0000 0.5000 Cu
0.5000 0.5000 0.0000 Cu


Copy entry 2 word for word.
PBE-GGA RbCdCu3, optimized geometry; raw total energy = -2.27 eV per atom; E_form = 0.563 eV per atom
1.0
5.0727 0.0000 0.0000
0.0000 5.0727 0.0000
0.0000 0.0000 5.0727
Rb Cd Cu
1 1 3
direct
0.0000 0.0000 0.0000 Rb
0.5000 0.5000 0.5000 Cd
0.0000 0.5000 0.5000 Cu
0.5000 0.0000 0.5000 Cu
0.5000 0.5000 0.0000 Cu


Question: Among the records above, which one has the highest raw total energy?
Answer: RbCdCu3


Repeat the second record exactly.
PBE-GGA RbCdCu3, optimized geometry; raw total energy = -2.27 eV per atom; E_form = 0.563 eV per atom
1.0
5.0727 0.0000 0.0000
0.0000 5.0727 0.0000
0.0000 0.0000 5.0727
Rb Cd Cu
1 1 3
direct
0.0000 0.0000 0.0000 Rb
0.5000 0.5000 0.5000 Cd
0.0000 0.5000 0.5000 Cu
0.5000 0.0000 0.5000 Cu
0.5000 0.5000 0.0000 Cu